TbYGe: relaxed, PBE.

Cell and atoms, written as POSCAR:
```
TbYGe
1.0
-0.9505 -4.2710 -0.1817
3.7706 -0.9254 2.0237
-3.7401 0.5255 7.2078
Ge Y Tb
2 2 2
Cartesian
-1.5460 -2.9854 6.4937 Ge
-1.2799 -0.6226 2.3445 Ge
1.6359 -1.2313 1.3644 Y
-0.7257 -2.9040 0.2636 Y
-0.1730 -3.1793 3.8445 Tb
-2.6565 -0.4303 4.9915 Tb
```

Properties
Calculated formation energy in eV per atom: -0.61
SG: P4/nmm
D(E_F) in states/eV/cell: 6.555

---

NaCu2Sb2: relaxed, PBE.

Cell and atoms, written as POSCAR:
```
NaCu2Sb2
1.0
8.1311 0.0000 0.0000
0.0000 8.1311 0.0000
0.0000 0.0000 3.1642
Sb Cu Na
4 4 2
Cartesian
2.7670 6.8326 0.0000 Sb
6.8326 5.3641 0.0000 Sb
5.3641 1.2986 0.0000 Sb
1.2986 2.7670 0.0000 Sb
1.0372 5.1027 1.5821 Cu
5.1027 7.0940 1.5821 Cu
3.0284 1.0372 1.5821 Cu
7.0940 3.0284 1.5821 Cu
4.0656 4.0656 0.0000 Na
0.0000 0.0000 0.0000 Na
```

Properties
Raw formation energy in kJ/mol of formula units: 37
SG: P4/mbm
D(E_F) in states/eV/cell: 3.527